Entry 1:
Material: Ho3Cd2Rh
Method: DFT, PBE-GGA
State: optimized geometry

a = 5.048 Å, b = 7.457 Å, c = 7.967 Å
α = 90.00°, β = 108.40°, γ = 90.00°
Fractional coordinates of all 12 atoms:
Ho 0.000 0.235 0.000
Ho 0.000 0.765 0.000
Ho 0.326 0.224 0.652
Ho 0.326 0.776 0.652
Ho 0.674 0.224 0.348
Ho 0.674 0.776 0.348
Cd 0.164 0.500 0.330
Cd 0.500 0.000 0.000
Cd 0.500 0.500 0.000
Cd 0.836 0.500 0.670
Rh 0.158 0.000 0.317
Rh 0.842 0.000 0.683

Its total energy is -52.01 eV for the cell shown.


Entry 2:
Material: ErSc5Sn6
Method: DFT, PBE-GGA
State: optimized geometry

a = 7.172 Å, b = 7.172 Å, c = 8.296 Å
α = 94.46°, β = 94.46°, γ = 135.78°
Fractional coordinates of all 12 atoms:
Er 0.000 0.000 0.000
Sc 0.000 0.000 0.500
Sc 0.330 0.670 0.000
Sc 0.338 0.662 0.500
Sc 0.662 0.338 0.500
Sc 0.670 0.330 0.000
Sn 0.165 0.826 0.257
Sn 0.174 0.835 0.743
Sn 0.483 0.483 0.752
Sn 0.517 0.517 0.248
Sn 0.826 0.165 0.257
Sn 0.835 0.174 0.743

Its total energy is -66.90 eV for the cell shown.


Entry 3:
Material: LiSi2PdN
Method: DFT, PBE-GGA
State: optimized geometry

a = 3.974 Å, b = 3.974 Å, c = 3.751 Å
α = 90.00°, β = 90.00°, γ = 90.00°
Fractional coordinates of all 5 atoms:
Li 0.000 0.000 0.000
Si 0.000 0.500 0.500
Si 0.500 0.000 0.500
Pd 0.500 0.500 0.000
N 0.000 0.000 0.500

The uncorrected formation energy comes out at -0.09 eV/atom.


Entry 4:
Material: SrTlBr2
Method: DFT, PBE-GGA
State: optimized geometry

a = 10.947 Å, b = 10.947 Å, c = 10.947 Å
α = 23.06°, β = 23.06°, γ = 23.06°
Fractional coordinates of all 4 atoms:
Sr 0.000 0.000 0.000
Tl 0.500 0.500 0.500
Br 0.386 0.386 0.386
Br 0.614 0.614 0.614

The calculation puts the distance to the lowest polymorph of the same formula at 0 kJ/mol of formula units. The uncorrected formation energy comes out at -1.35 eV/atom.


Entry 5:
Material: Tb6YHo2Th
Method: DFT, PBE-GGA
State: optimized geometry

a = 8.773 Å, b = 8.773 Å, c = 9.458 Å
α = 93.25°, β = 93.25°, γ = 116.61°
Fractional coordinates of all 20 atoms:
Tb 0.015 0.570 0.183
Tb 0.116 0.763 0.559
Tb 0.237 0.884 0.941
Tb 0.292 0.517 0.384
Tb 0.430 0.985 0.317
Tb 0.483 0.708 0.116
Tb 0.517 0.292 0.884
Tb 0.570 0.015 0.683
Tb 0.708 0.483 0.616
Tb 0.763 0.116 0.059
Tb 0.884 0.237 0.441
Tb 0.985 0.430 0.817
Y 0.409 0.591 0.750
Y 0.591 0.409 0.250
Ho 0.202 0.300 0.052
Ho 0.300 0.202 0.552
Ho 0.700 0.798 0.448
Ho 0.798 0.700 0.948
Th 0.033 0.967 0.250
Th 0.967 0.033 0.750

Its total energy is -98.68 eV for the cell shown.


Entry 6:
Material: Pu2AlRe3
Method: DFT, PBE-GGA
State: optimized geometry

a = 5.323 Å, b = 5.323 Å, c = 5.462 Å
α = 119.04°, β = 119.04°, γ = 60.14°
Fractional coordinates of all 6 atoms:
Pu 0.123 0.123 0.370
Pu 0.877 0.877 0.630
Al 0.500 0.500 0.500
Re 0.000 0.500 0.000
Re 0.500 0.000 0.000
Re 0.500 0.500 0.000

Its total energy is -70.20 eV for the cell shown.


no.,calculated volume (Å³ per cell),theoretical density (g/cm3),DOS(E_F) (states/eV/cell)
1,284.59,9.6,6.18
2,291.18,6.3,7.12
3,59.25,5.1,0.70
4,176.68,4.2,1.28
5,647.04,8.2,29.24
6,111.12,16.0,16.31